[1]
Density functional theory data (GGA-PBE) for a relaxed structure of KMnPt.

Calculated values
Crystal system: hexagonal
Energy above the most stable polymorph in this dataset: 0.6310 eV per atom

Cell: 3.9997 3.9997 5.5212 Å, 90.00 90.00 120.00°
Closest atoms and distances in Å follow each position.
Fractional coordinates of all 3 atoms:
K 0.0000 0.0000 0.0000  6 Mn 3.60, 6 Pt 3.60, 6 K 4.00
Mn 0.3333 0.6667 0.5000  3 Pt 2.31
Pt 0.6667 0.3333 0.5000  3 Mn 2.31


[2]
Density functional theory data (GGA-PBE) for a relaxed structure of KMnPt.

Calculated values
Crystal system: orthorhombic
Energy above the most stable polymorph in this dataset: 0.0353 eV per atom

Cell: 12.1064 5.5221 4.3808 Å, 90.00 90.00 90.00°
Closest atoms and distances in Å follow each position.
Fractional coordinates of all 12 atoms:
K 0.2335 0.2500 0.0006  1 Pt 3.10
K 0.2665 0.7500 0.5006  1 Pt 3.10
K 0.7335 0.2500 0.4994  1 Pt 3.10
K 0.7665 0.7500 0.9994  1 Pt 3.10
Mn 0.0000 0.0000 0.5000  4 Pt 2.60, 2 Mn 2.76
Mn 0.0000 0.5000 0.5000  4 Pt 2.60, 2 Mn 2.76
Mn 0.5000 0.0000 0.0000  4 Pt 2.60, 2 Mn 2.76
Mn 0.5000 0.5000 0.0000  4 Pt 2.60, 2 Mn 2.76
Pt 0.0227 0.7500 0.0000  4 Mn 2.60, 2 Pt 2.82
Pt 0.4773 0.2500 0.5000  4 Mn 2.60, 2 Pt 2.82
Pt 0.5227 0.7500 0.5000  4 Mn 2.60, 2 Pt 2.82
Pt 0.9773 0.2500 0.0000  4 Mn 2.60, 2 Pt 2.82


[3]
Density functional theory data (GGA-PBE) for a relaxed structure of K2MnPt2.

Calculated values
Crystal system: tetragonal
DFT total energy: -4.35 eV per atom

Cell: 6.3409 6.3409 5.5852 Å, 90.00 90.00 90.00°
Closest atoms and distances in Å follow each position.
Fractional coordinates of all 10 atoms:
K 0.1780 0.3220 0.0000  5 K 3.19-3.30, 6 Pt 3.22-3.47
K 0.3220 0.8220 0.0000  5 K 3.19-3.30, 6 Pt 3.22-3.47
K 0.6780 0.1780 0.0000  5 K 3.19-3.30, 6 Pt 3.22-3.47
K 0.8220 0.6780 0.0000  5 K 3.19-3.30, 6 Pt 3.22-3.47
Mn 0.0000 0.0000 0.5000  4 Pt 2.43
Mn 0.5000 0.5000 0.5000  4 Pt 2.43
Pt 0.1442 0.6442 0.5000  2 Mn 2.43, 1 Pt 2.59
Pt 0.3558 0.1442 0.5000  2 Mn 2.43, 1 Pt 2.59
Pt 0.6442 0.8558 0.5000  2 Mn 2.43, 1 Pt 2.59
Pt 0.8558 0.3558 0.5000  2 Mn 2.43, 1 Pt 2.59


[4]
Density functional theory data (GGA-PBE) for a relaxed structure of KMnPt2.

Calculated values
Crystal system: tetragonal
DFT total energy: -5.69 eV per atom

Cell: 3.0073 3.0073 8.4017 Å, 90.00 90.00 90.00°
Closest atoms and distances in Å follow each position.
Fractional coordinates of all 4 atoms:
K 0.0000 0.0000 0.0000  4 K 3.01, 8 Pt 3.35
Mn 0.0000 0.0000 0.5000  8 Pt 2.67
Pt 0.5000 0.5000 0.3087  4 Mn 2.67
Pt 0.5000 0.5000 0.6913  4 Mn 2.67


no.,spin magnetization (μB per formula unit)
1,0.0
2,4.0
3,0.0
4,4.5